The following is a PBE calculation of YSc2Hg after structural relaxation, from Alexandria.

The calculation puts the formation energy at 0.01 eV per atom.

The space group is I-42d (No. 122) and the conventional cell measures 8.266, 8.266 and 6.239 Å, with angles of 90.00, 90.00 and 90.00 degrees. The asymmetric unit holds Y at (0.000, 0.000, 0.000), Sc at (0.205, 0.250, 0.625) and Hg at (0.000, 0.000, 0.500).



The following is a PBE calculation of Ta4InCo after structural relaxation, from Alexandria.

The calculation puts the formation energy at 0.55 eV per atom.

The space group is F-43m (No. 216) and the conventional cell measures 7.683, 7.683 and 7.683 Å, with angles of 90.00, 90.00 and 90.00 degrees. The asymmetric unit holds Ta at (0.125, 0.125, 0.125), In at (0.000, 0.000, 0.500) and Co at (0.250, 0.250, 0.750).



The following is a PBE calculation of Sc3Pd8 after structural relaxation, from Alexandria.

The calculation puts the formation energy at -0.34 eV per atom.

The space group is R-3 (No. 148, hexagonal axes) and the conventional cell measures 8.8245, 8.8245 and 9.2750 Å, with angles of 90.00, 90.00 and 120.00 degrees. The asymmetric unit holds Sc at (0.0000, 0.5000, 0.0000), Pd at (0.0000, 0.0000, 0.3595) and Pd at (0.0254, 0.8228, 0.8865).



The following is a PBE calculation of YHPt3 after structural relaxation, from Alexandria.

As for the energy above the most stable polymorph in this dataset: 2.272 eV per atom.

The space group is Pm-3m (No. 221) and the conventional cell measures 5.211, 5.211 and 5.211 Å, with angles of 90.00, 90.00 and 90.00 degrees. The asymmetric unit holds Y at (0.000, 0.000, 0.000), H at (0.500, 0.500, 0.500) and Pt at (0.000, 0.000, 0.500).



The following is a PBE calculation of AcErS2O after structural relaxation, from Alexandria.

The raw formation energy is -2.516 eV per atom.

The space group is P4/nmm (No. 129, origin choice 2) and the conventional cell measures 4.045, 4.045 and 14.139 Å, with angles of 90.00, 90.00 and 90.00 degrees. The asymmetric unit holds Ac at (0.250, 0.250, 0.096), Er at (0.250, 0.250, 0.615), S at (0.250, 0.250, 0.411), S at (0.250, 0.250, 0.789) and O at (0.250, 0.750, 0.000).



The following is a PBE calculation of LaTbCeN3 after structural relaxation, from Alexandria.

The raw formation energy is -1.334 eV per atom.

The space group is P2_1/m (No. 11) and the conventional cell measures 6.143, 3.567 and 9.321 Å, with angles of 90.00, 101.52 and 90.00 degrees. The asymmetric unit holds La at (0.164, 0.250, 0.200), Tb at (0.267, 0.750, 0.543), Ce at (0.352, 0.250, 0.854), N at (0.042, 0.250, 0.664), N at (0.255, 0.750, 0.994) and N at (0.463, 0.750, 0.348).



The records above yield D(E_F) values of 22.14, 18.52, 6.22, 3.69, 2.10, 6.16 states/eV per cell, respectively.